Entry 1:
Density functional theory data (PBE) for crystalline PmAlGa4 at its relaxed geometry.

Properties
Energy above the lowest structure with this stoichiometry, eV/atom: 0.138
VASP energy, eV per atom: -3.63
Formation enthalpy at 0 K, eV per atom: -0.1948

Unit cell a=5.544 b=5.544 c=5.544 alpha=60.00 beta=60.00 gamma=60.00
Atoms (fractional coordinates):
Pm1 0.000 0.000 0.000
Al1 0.250 0.250 0.250
Ga1 0.126 0.625 0.625
Ga2 0.625 0.126 0.625
Ga3 0.625 0.625 0.126
Ga4 0.625 0.625 0.625

***

Entry 2:
Density functional theory data (PBE) for crystalline Pm2Al2Ga5 at its relaxed geometry.

Properties
VASP energy, eV per atom: -3.99
Formation enthalpy at 0 K, eV per atom: -0.4220

Unit cell a=4.322 b=4.322 c=9.940 alpha=90.00 beta=90.00 gamma=90.00
Atoms (fractional coordinates):
Pm1 0.000 0.000 0.000
Pm2 0.000 0.000 0.500
Al1 0.500 0.500 0.125
Al2 0.500 0.500 0.875
Ga1 0.000 0.500 0.273
Ga2 0.000 0.500 0.727
Ga3 0.500 0.000 0.273
Ga4 0.500 0.000 0.727
Ga5 0.500 0.500 0.500

***

Entry 3:
Density functional theory data (PBE) for crystalline Pm5Al4Ga at its relaxed geometry.

Properties
VASP energy, eV per atom: -4.58
Formation enthalpy at 0 K, eV per atom: -0.4081

Unit cell a=3.696 b=3.696 c=18.444 alpha=90.00 beta=90.00 gamma=90.00
Atoms (fractional coordinates):
Pm1 0.000 0.000 0.000
Pm2 0.000 0.000 0.200
Pm3 0.000 0.000 0.401
Pm4 0.000 0.000 0.599
Pm5 0.000 0.000 0.800
Al1 0.500 0.500 0.100
Al2 0.500 0.500 0.300
Al3 0.500 0.500 0.700
Al4 0.500 0.500 0.900
Ga1 0.500 0.500 0.500

***

Entry 4:
Density functional theory data (PBE) for crystalline Pm4AlGa2 at its relaxed geometry.

Properties
VASP energy, eV per atom: -4.48
Formation enthalpy at 0 K, eV per atom: -0.3692

Unit cell a=8.878 b=8.878 c=8.878 alpha=33.62 beta=33.62 gamma=33.62
Atoms (fractional coordinates):
Pm1 0.120 0.120 0.120
Pm2 0.371 0.371 0.371
Pm3 0.629 0.629 0.629
Pm4 0.880 0.880 0.880
Al1 0.500 0.500 0.500
Ga1 0.249 0.249 0.249
Ga2 0.751 0.751 0.751

***

Entry 5:
Density functional theory data (PBE) for crystalline Pm4AlGa at its relaxed geometry.

Properties
Energy above the lowest structure with this stoichiometry, eV/atom: 0.154
VASP energy, eV per atom: -4.43
Formation enthalpy at 0 K, eV per atom: -0.1309

Unit cell a=5.096 b=5.096 c=7.310 alpha=90.00 beta=90.00 gamma=90.00
Atoms (fractional coordinates):
Pm1 0.000 0.500 0.247
Pm2 0.000 0.500 0.753
Pm3 0.500 0.000 0.247
Pm4 0.500 0.000 0.753
Al1 0.000 0.000 0.500
Ga1 0.500 0.500 0.000

***

Entry 6:
Density functional theory data (PBE) for crystalline Pm3Al2Ga4 at its relaxed geometry.

Properties
VASP energy, eV per atom: -4.39
Formation enthalpy at 0 K, eV per atom: -0.6281

Unit cell a=6.032 b=6.032 c=8.579 alpha=101.13 beta=101.13 gamma=41.85
Atoms (fractional coordinates):
Pm1 0.000 0.000 0.000
Pm2 0.335 0.335 0.332
Pm3 0.665 0.665 0.668
Al1 0.388 0.388 0.721
Al2 0.612 0.612 0.279
Ga1 0.058 0.058 0.392
Ga2 0.282 0.282 0.949
Ga3 0.718 0.718 0.051
Ga4 0.942 0.942 0.608

***

Q: Which of these has the highest formation enthalpy at 0 K?
A: Pm4AlGa